No. 1
CaAc2Pr2Ag5, relaxed, DFT PBE-GGA; DFT total energy = -3.52 eV per atom; space group = No. 127; crystal system = tetragonal; V = 579.8 Å³/cell; calculated formation energy = -118 meV/atom
1.0
-3.1804 1.9971 -1.8634
-5.4217 1.0535 10.3826
5.4142 10.2863 1.7835
Ag Ac Pr Ca
10 4 4 2
Cartesian
-2.0784 2.0715 1.0514 Ag
-1.1095 11.2654 9.2513 Ag
-3.0162 5.9667 6.8267 Ag
-2.0801 4.7653 3.9415 Ag
1.1169 6.1417 -0.0399 Ag
-1.1077 8.5716 6.3612 Ag
-0.1717 7.3702 3.4759 Ag
2.4024 9.5634 1.4332 Ag
-4.3010 1.5253 4.2596 Ag
-5.5903 3.7735 8.8694 Ag
0.8613 3.5704 2.3565 Ac
-2.7121 2.4583 7.2636 Ac
-0.8688 7.7693 9.8096 Ac
2.7046 8.8814 4.9025 Ac
-2.7136 4.7093 9.6786 Pr
2.7061 6.6305 2.4875 Pr
1.2821 9.6020 8.1027 Pr
-1.2896 1.7378 4.0634 Pr
-0.0037 5.6699 6.0830 Ca
0.0000 0.0000 0.0000 Ca

***

No. 2
Li2CoMoAu, relaxed, DFT PBE-GGA; DFT total energy = -3.38 eV per atom; space group = No. 123; crystal system = tetragonal; V = 111.0 Å³/cell; calculated formation energy = 1624 meV/atom
1.0
-2.0538 -2.8435 3.2122
-2.0306 -2.6193 -3.6170
3.8116 -2.8438 -0.0805
Au Li Mo Co
1 2 1 1
Cartesian
-1.0153 -1.3097 -1.8085 Au
-1.0269 -1.4218 1.6061 Li
1.9058 -1.4219 -0.0402 Li
0.0000 0.0000 0.0000 Mo
-0.1364 -4.1533 -0.2426 Co

***

No. 3
Y3MgTl4Te8, relaxed, DFT PBE-GGA; DFT total energy = -4.39 eV per atom; space group = No. 166; crystal system = trigonal; V = 545.7 Å³/cell; energy relative to the elements, uncorrected = -0.913 eV/atom
1.0
-4.2572 7.3802 -2.4615
-7.2366 -5.2525 -3.2323
2.4539 -1.0939 8.4522
Y Mg Te Tl
3 1 8 4
Cartesian
-2.3914 -3.1732 2.6100 Y
-4.5200 0.5169 1.3792 Y
-5.7469 1.0639 -2.8469 Y
-3.6183 -2.6262 -1.6161 Mg
-3.7452 -3.0792 5.3866 Te
-1.8738 -0.1291 2.8538 Te
-3.1253 0.3521 -1.3738 Te
-7.1661 1.1629 -0.0954 Te
-5.2948 4.1131 -2.6282 Te
-4.9961 -2.5218 1.0799 Te
-5.9147 0.6818 4.1322 Te
-4.0439 3.5556 1.6785 Te
1.2269 -0.5469 4.2261 Tl
-0.9017 3.1431 2.9953 Tl
0.0000 0.0000 0.0000 Tl
-2.1286 3.6901 -1.2308 Tl

***

No. 4
CdPb2Br, relaxed, DFT PBE-GGA; excess energy over the best structure of this formula in the dataset = 90 meV/atom; DFT total energy = -2.59 eV per atom; space group = No. 47; crystal system = orthorhombic; V = 117.0 Å³/cell; energy relative to the elements, uncorrected = -0.090 eV/atom
1.0
3.5053 0.0000 0.0000
0.0000 4.9317 0.0000
0.0000 0.0000 6.7688
Br Pb Cd
1 2 1
Cartesian
1.7526 2.4658 1.6922 Br
0.0000 0.0000 3.4342 Pb
0.0000 0.0000 6.7190 Pb
1.7526 2.4658 5.0766 Cd

***

No. 5
Nb3Fe8Sn, relaxed, DFT PBE-GGA; DFT total energy = -8.61 eV per atom; space group = No. 156; crystal system = trigonal; V = 160.9 Å³/cell; calculated formation energy = -113 meV/atom
1.0
-1.0298 4.4693 -1.5821
-3.5608 -2.8996 1.5657
0.9331 2.8050 7.3166
Fe Nb Sn
8 3 1
Cartesian
-2.0964 5.1287 4.7303 Fe
0.1769 4.3514 4.7384 Fe
-2.9140 -0.9946 2.8467 Fe
-3.4345 1.2641 2.0471 Fe
-2.2523 0.9539 4.1610 Fe
-1.5864 2.9155 5.5137 Fe
-2.7106 -0.4236 0.5677 Fe
-1.1143 0.4708 2.0554 Fe
-1.4682 3.2313 2.6450 Nb
-1.8140 2.1918 -0.0664 Nb
0.8712 2.6189 6.8313 Nb
0.5216 1.5680 4.0900 Sn

***

No. 6
ZrGeC, relaxed, DFT PBE-GGA; DFT total energy = -7.79 eV per atom; space group = No. 62; crystal system = orthorhombic; V = 200.8 Å³/cell; calculated formation energy = -323 meV/atom
1.0
-3.3226 -0.1576 0.2307
0.2512 -2.8912 1.6420
0.6635 8.9590 15.6729
C Zr Ge
4 4 4
Cartesian
-2.1664 -0.5920 4.3674 C
-0.2415 6.5021 13.1783 C
-0.5499 2.0238 5.3402 C
-1.8581 3.8864 12.2054 C
-0.6317 0.9182 3.4060 Zr
-2.0845 0.5137 6.3015 Zr
-0.3235 5.3965 11.2441 Zr
-1.7763 4.9920 14.1396 Zr
-0.4744 3.0524 7.1399 Ge
-1.9336 2.8577 10.4057 Ge
-0.1647 7.5309 14.9778 Ge
-2.2433 -1.6207 2.5678 Ge

***

No. 7
LaNb2MoSe, relaxed, DFT PBE-GGA; DFT total energy = -5.89 eV per atom; space group = No. 123; crystal system = tetragonal; V = 118.0 Å³/cell; energy relative to the elements, uncorrected = 1.986 eV/atom
1.0
4.9673 0.0000 0.0000
0.0000 4.7835 0.0000
0.0000 0.0000 4.9673
La Nb Mo Se
1 2 1 1
Cartesian
0.0000 0.0000 0.0000 La
2.4836 0.0000 0.0000 Nb
0.0000 0.0000 2.4836 Nb
0.0000 2.3917 0.0000 Mo
2.4836 2.3917 2.4836 Se

***

No. 8
Sr2ZrTeC, relaxed, DFT PBE-GGA; DFT total energy = -3.48 eV per atom; space group = No. 123; crystal system = tetragonal; V = 219.6 Å³/cell; energy relative to the elements, uncorrected = 1.370 eV/atom
1.0
-4.5300 -4.4164 -0.8500
3.6795 -3.8908 0.6062
-1.1104 -0.0708 6.2857
Sr C Te Zr
2 1 1 1
Cartesian
-2.2650 -2.2082 -0.4250 Sr
-0.5552 -0.0354 3.1428 Sr
-0.9804 -4.1890 3.0209 C
1.8398 -1.9454 0.3031 Te
0.0000 0.0000 0.0000 Zr

***

No. 9
Sr2Ce4Bi3O2, relaxed, DFT PBE-GGA; DFT total energy = -5.93 eV per atom; space group = No. 139; crystal system = tetragonal; V = 317.7 Å³/cell; energy relative to the elements, uncorrected = -1.505 eV/atom
1.0
4.8326 0.0000 0.0000
0.0000 4.8326 0.0000
-2.4163 -2.4163 13.6030
Bi Ce O Sr
3 4 2 2
Cartesian
2.4163 2.4163 8.8564 Bi
0.0000 0.0000 4.7466 Bi
0.0000 0.0000 0.0000 Bi
0.0000 2.4163 11.3426 Ce
2.4163 0.0000 11.3426 Ce
2.4163 0.0000 2.2604 Ce
0.0000 2.4163 2.2604 Ce
0.0000 0.0000 10.9748 O
2.4163 2.4163 2.6283 O
0.0000 0.0000 8.2713 Sr
2.4163 2.4163 5.3317 Sr

***

No. 10
PaZn2TcO8, relaxed, DFT PBE-GGA; DFT total energy = -7.07 eV per atom; space group = No. 65; crystal system = orthorhombic; V = 148.1 Å³/cell; energy relative to the elements, uncorrected = -1.896 eV/atom
1.0
-3.4647 2.6103 1.9879
1.4213 -1.6439 4.2460
4.1080 5.0198 0.5687
Zn Pa O Tc
2 1 8 1
Cartesian
2.0965 4.2935 3.5486 Zn
-0.0319 1.6927 3.2540 Zn
2.0540 2.5099 0.2843 Pa
3.5259 5.2958 2.3381 O
-1.6497 2.8994 2.5403 O
1.3933 0.2507 3.9409 O
-1.4613 0.6905 4.4645 O
1.4259 2.8079 2.1913 O
0.6386 3.1783 4.6113 O
0.6712 5.7355 2.8617 O
3.7143 3.0868 4.2623 O
0.0000 0.0000 0.0000 Tc

***

No. 11
Pm2Mg3, relaxed, DFT PBE-GGA; excess energy over the best structure of this formula in the dataset = 0 meV/atom; DFT total energy = -2.94 eV per atom; space group = No. 123; crystal system = tetragonal; V = 278.1 Å³/cell; calculated formation energy = -83 meV/atom
1.0
3.8360 0.0000 0.0000
0.0000 3.8360 0.0000
0.0000 0.0000 18.8998
Mg Pm
6 4
Cartesian
0.0000 0.0000 5.5729 Mg
0.0000 0.0000 17.2472 Mg
0.0000 0.0000 1.6526 Mg
1.9180 1.9180 0.0000 Mg
0.0000 0.0000 13.3269 Mg
0.0000 0.0000 9.4499 Mg
1.9180 1.9180 7.4996 Pm
1.9180 1.9180 15.2248 Pm
1.9180 1.9180 3.6750 Pm
1.9180 1.9180 11.4002 Pm

***

No. 12
ErPaN, relaxed, DFT PBE-GGA; excess energy over the best structure of this formula in the dataset = 29 meV/atom; DFT total energy = -8.08 eV per atom; space group = No. 107; crystal system = tetragonal; V = 65.9 Å³/cell; energy relative to the elements, uncorrected = -0.615 eV/atom
1.0
-1.4598 1.5749 -2.3805
-2.0116 -2.4646 -0.3970
-2.3160 3.0716 5.6112
Pa Er N
1 1 1
Cartesian
-2.6141 1.6948 2.7243 Pa
-0.3244 0.2103 0.3380 Er
-3.9494 2.5605 4.1159 N

***

M_tot in μB/cell, matching the order above: 0.00, 4.33, 0.00, 0.00, 11.52, 0.00, 0.00, 4.62, 4.56, 0.00, 0.00, 0.00